Entry 1:
BiAsBr | PBE-GGA | relaxed

Unit cell a=4.2859 b=4.6324 c=8.9271 alpha=86.87 beta=89.98 gamma=89.45
Closest atoms and distances in Å follow each position.
Space group P-1 (No. 2)
Symmetry-distinct sites (fractional):
Bi: 0.2457 0.3370 0.2836  4 As 2.85-3.12, 2 Br 3.08-3.13
As: 0.2507 0.7770 0.4951  4 Bi 2.85-3.12, 2 As 2.97-2.99
Br: 0.2514 0.2563 0.8656  2 Bi 3.08-3.13

Uncorrected formation energy = -0.22 eV per atom
Energy above the most stable polymorph in this dataset = 91 meV/atom
Magnetic moment = 0.0 μB per cell

=====

Entry 2:
Bi2AsBr | PBE-GGA | relaxed

Unit cell a=7.5105 b=7.5105 c=7.5105 alpha=90.00 beta=90.00 gamma=90.00
Closest atoms and distances in Å follow each position.
Space group Fm-3m (No. 225)
Symmetry-distinct sites (fractional):
Bi: 0.2500 0.2500 0.2500  4 Br 3.25, 4 As 3.25
As: 0.0000 0.0000 0.0000  8 Bi 3.25
Br: 0.0000 0.0000 0.5000  8 Bi 3.25

Uncorrected formation energy = 0.10 eV per atom
Energy above the most stable polymorph in this dataset = 190 meV/atom
Magnetic moment = 0.0 μB per cell